Entry 1:
VASP calculation (PBE) on a relaxed KAl2CuBr8 crystal.

Computed properties:
- uncorrected formation energy (kJ/mol of atoms) = -102.3
- electronic total energy (eV/atom) = -3.232
- SG = P-3, No. 147
- density (Mg/m³) = 3.40
- total moment (μB/f.u.) = 0.13

CIF file:
```
data_KAl2CuBr8
_chemical_formula_sum 'K1 Al2 Cu1 Br8'
_cell_length_a 6.806
_cell_length_b 6.806
_cell_length_c 9.678
_cell_angle_alpha 90.00
_cell_angle_beta 90.00
_cell_angle_gamma 120.00
_space_group_name_H-M_alt 'P 1'
_space_group_IT_number 1
_space_group_name_Hall 'P 1'
loop_
_atom_site_label
_atom_site_type_symbol
_atom_site_fract_x
_atom_site_fract_y
_atom_site_fract_z
K1 K 0.000 0.000 0.000
Al1 Al 0.333 0.667 0.742
Al2 Al 0.667 0.333 0.258
Cu1 Cu 0.000 0.000 0.500
Br1 Br 0.018 0.327 0.669
Br2 Br 0.309 0.982 0.669
Br3 Br 0.327 0.309 0.331
Br4 Br 0.333 0.667 0.982
Br5 Br 0.667 0.333 0.018
Br6 Br 0.673 0.691 0.669
Br7 Br 0.691 0.018 0.331
Br8 Br 0.982 0.673 0.331
```

***

Entry 2:
VASP calculation (PBE) on a relaxed Pa2TaN crystal.

Computed properties:
- uncorrected formation energy (kJ/mol of atoms) = -40.3
- electronic total energy (eV/atom) = -10.211
- SG = R-3m, No. 166
- density (Mg/m³) = 14.24
- total moment (μB/f.u.) = 0.00

CIF file:
```
data_Pa2TaN
_chemical_formula_sum 'Pa2 Ta1 N1'
_cell_length_a 8.685
_cell_length_b 8.685
_cell_length_c 8.685
_cell_angle_alpha 21.43
_cell_angle_beta 21.43
_cell_angle_gamma 21.43
_space_group_name_H-M_alt 'P 1'
_space_group_IT_number 1
_space_group_name_Hall 'P 1'
loop_
_atom_site_label
_atom_site_type_symbol
_atom_site_fract_x
_atom_site_fract_y
_atom_site_fract_z
Pa1 Pa 0.227 0.227 0.227
Pa2 Pa 0.773 0.773 0.773
Ta1 Ta 0.000 0.000 0.000
N1 N 0.500 0.500 0.500
```

***

Entry 3:
VASP calculation (PBE) on a relaxed NbHg2Ru crystal.

Computed properties:
- polymorph energy (0 for the lowest one) (eV per atom) = 0.366
- electronic total energy (eV/atom) = -4.162
- formation energy from the elements (eV/atom) = 0.83
- SG = I-42d, No. 122
- density (Mg/m³) = 12.29
- total moment (μB/f.u.) = 0.00

CIF file:
```
data_NbHg2Ru
_chemical_formula_sum 'Nb2 Hg4 Ru2'
_cell_length_a 6.076
_cell_length_b 6.076
_cell_length_c 6.076
_cell_angle_alpha 101.64
_cell_angle_beta 101.64
_cell_angle_gamma 126.62
_space_group_name_H-M_alt 'P 1'
_space_group_IT_number 1
_space_group_name_Hall 'P 1'
loop_
_atom_site_label
_atom_site_type_symbol
_atom_site_fract_x
_atom_site_fract_y
_atom_site_fract_z
Nb1 Nb 0.000 0.000 0.000
Nb2 Nb 0.750 0.250 0.500
Hg1 Hg 0.138 0.625 0.013
Hg2 Hg 0.375 0.388 0.513
Hg3 Hg 0.612 0.125 0.987
Hg4 Hg 0.875 0.862 0.487
Ru1 Ru 0.250 0.750 0.500
Ru2 Ru 0.500 0.500 0.000
```

***

Entry 4:
VASP calculation (PBE) on a relaxed CaIn2Cl crystal.

Computed properties:
- uncorrected formation energy (kJ/mol of atoms) = -64.5
- polymorph energy (0 for the lowest one) (eV per atom) = 0.163
- electronic total energy (eV/atom) = -2.999
- SG = Imm2, No. 44
- density (Mg/m³) = 4.42
- total moment (μB/f.u.) = 0.00

CIF file:
```
data_CaIn2Cl
_chemical_formula_sum 'Ca1 In2 Cl1'
_cell_length_a 6.340
_cell_length_b 6.340
_cell_length_c 6.340
_cell_angle_alpha 146.77
_cell_angle_beta 123.81
_cell_angle_gamma 66.86
_space_group_name_H-M_alt 'P 1'
_space_group_IT_number 1
_space_group_name_Hall 'P 1'
loop_
_atom_site_label
_atom_site_type_symbol
_atom_site_fract_x
_atom_site_fract_y
_atom_site_fract_z
Ca1 Ca 0.000 0.000 0.000
In1 In 0.463 0.463 0.000
In2 In 0.737 0.237 0.500
Cl1 Cl 0.184 0.684 0.500
```

***

Entry 5:
VASP calculation (PBE) on a relaxed Ac3CuNi3 crystal.

Computed properties:
- polymorph energy (0 for the lowest one) (eV per atom) = 0.000
- electronic total energy (eV/atom) = -5.031
- formation energy from the elements (eV/atom) = -0.21
- SG = Cmcm, No. 63
- density (Mg/m³) = 9.50
- total moment (μB/f.u.) = 0.00

CIF file:
```
data_Ac3CuNi3
_chemical_formula_sum 'Ac6 Cu2 Ni6'
_cell_length_a 5.803
_cell_length_b 5.803
_cell_length_c 13.974
_cell_angle_alpha 90.00
_cell_angle_beta 90.00
_cell_angle_gamma 136.81
_space_group_name_H-M_alt 'P 1'
_space_group_IT_number 1
_space_group_name_Hall 'P 1'
loop_
_atom_site_label
_atom_site_type_symbol
_atom_site_fract_x
_atom_site_fract_y
_atom_site_fract_z
Ac1 Ac 0.007 0.993 0.750
Ac2 Ac 0.285 0.715 0.604
Ac3 Ac 0.285 0.715 0.896
Ac4 Ac 0.715 0.285 0.104
Ac5 Ac 0.715 0.285 0.396
Ac6 Ac 0.993 0.007 0.250
Cu1 Cu 0.000 0.000 0.000
Cu2 Cu 0.000 0.000 0.500
Ni1 Ni 0.291 0.709 0.250
Ni2 Ni 0.432 0.568 0.082
Ni3 Ni 0.432 0.568 0.418
Ni4 Ni 0.568 0.432 0.582
Ni5 Ni 0.568 0.432 0.918
Ni6 Ni 0.709 0.291 0.750
```

***

Entry 6:
VASP calculation (PBE) on a relaxed CsSc2Cd crystal.

Computed properties:
- electronic total energy (eV/atom) = -2.903
- formation energy from the elements (eV/atom) = 0.71
- SG = R-3m, No. 166
- density (Mg/m³) = 4.31
- total moment (μB/f.u.) = 0.00

CIF file:
```
data_CsSc2Cd
_chemical_formula_sum 'Cs1 Sc2 Cd1'
_cell_length_a 13.125
_cell_length_b 13.125
_cell_length_c 13.125
_cell_angle_alpha 14.85
_cell_angle_beta 14.85
_cell_angle_gamma 14.85
_space_group_name_H-M_alt 'P 1'
_space_group_IT_number 1
_space_group_name_Hall 'P 1'
loop_
_atom_site_label
_atom_site_type_symbol
_atom_site_fract_x
_atom_site_fract_y
_atom_site_fract_z
Cs1 Cs 0.000 0.000 0.000
Sc1 Sc 0.422 0.422 0.422
Sc2 Sc 0.578 0.578 0.578
Cd1 Cd 0.500 0.500 0.500
```

***

Entry 7:
VASP calculation (PBE) on a relaxed K3Rb8Cd2 crystal.

Computed properties:
- electronic total energy (eV/atom) = -0.993
- formation energy from the elements (eV/atom) = 0.00
- SG = P2/m, No. 10
- density (Mg/m³) = 1.82
- total moment (μB/f.u.) = 0.00

CIF file:
```
data_K3Rb8Cd2
_chemical_formula_sum 'K3 Rb8 Cd2'
_cell_length_a 11.304
_cell_length_b 5.577
_cell_length_c 15.609
_cell_angle_alpha 90.00
_cell_angle_beta 108.28
_cell_angle_gamma 90.00
_space_group_name_H-M_alt 'P 1'
_space_group_IT_number 1
_space_group_name_Hall 'P 1'
loop_
_atom_site_label
_atom_site_type_symbol
_atom_site_fract_x
_atom_site_fract_y
_atom_site_fract_z
K1 K 0.000 0.000 0.000
K2 K 0.335 0.500 0.077
K3 K 0.665 0.500 0.923
Rb1 Rb 0.020 0.500 0.237
Rb2 Rb 0.224 0.500 0.556
Rb3 Rb 0.320 0.000 0.822
Rb4 Rb 0.364 0.000 0.345
Rb5 Rb 0.636 0.000 0.655
Rb6 Rb 0.680 0.000 0.178
Rb7 Rb 0.776 0.500 0.444
Rb8 Rb 0.980 0.500 0.763
Cd1 Cd 0.007 0.000 0.406
Cd2 Cd 0.993 0.000 0.594
```

***

Entry 8:
VASP calculation (PBE) on a relaxed Rb2SrSbI6 crystal.

Computed properties:
- uncorrected formation energy (kJ/mol of atoms) = -99.9
- electronic total energy (eV/atom) = -2.740
- SG = I4/mmm, No. 139
- density (Mg/m³) = 3.55
- total moment (μB/f.u.) = 1.00

CIF file:
```
data_Rb2SrSbI6
_chemical_formula_sum 'Rb2 Sr1 Sb1 I6'
_cell_length_a 9.272
_cell_length_b 9.272
_cell_length_c 9.272
_cell_angle_alpha 123.14
_cell_angle_beta 123.14
_cell_angle_gamma 84.64
_space_group_name_H-M_alt 'P 1'
_space_group_IT_number 1
_space_group_name_Hall 'P 1'
loop_
_atom_site_label
_atom_site_type_symbol
_atom_site_fract_x
_atom_site_fract_y
_atom_site_fract_z
Rb1 Rb 0.250 0.750 0.500
Rb2 Rb 0.750 0.250 0.500
Sr1 Sr 0.000 0.000 0.000
Sb1 Sb 0.500 0.500 0.000
I1 I 0.234 0.234 0.000
I2 I 0.259 0.259 0.519
I3 I 0.259 0.741 0.000
I4 I 0.741 0.259 0.000
I5 I 0.741 0.741 0.481
I6 I 0.766 0.766 0.000
```